Entry 1:
Below is a relaxed MgTe3 crystal, with properties calculated at the PBE level.

Unit cell a=5.526 b=5.526 c=5.526 alpha=90.00 beta=90.00 gamma=90.00
Sites, in units of the cell vectors:
1 Mg 0.000 0.000 0.000
2 Te 0.000 0.000 0.500
3 Te 0.000 0.500 0.000
4 Te 0.500 0.000 0.000

Output
The value obtained for the total magnetization is 0.0 Bohr magnetons per cell. The formation energy (no corrections) is 0.27 eV per atom. As for the symmetry: Pm-3m (221).

=====

Entry 2:
Below is a relaxed InMo2AsPd crystal, with properties calculated at the PBE level.

Unit cell a=4.933 b=4.933 c=4.892 alpha=90.00 beta=90.00 gamma=90.00
Sites, in units of the cell vectors:
1 In 0.000 0.000 0.000
2 Mo 0.000 0.500 0.500
3 Mo 0.500 0.000 0.500
4 As 0.500 0.500 0.000
5 Pd 0.000 0.000 0.500

Output
The value obtained for the total magnetization is 4.7 Bohr magnetons per cell. Its raw total energy is -27.12 eV/cell. As for the symmetry: P4/mmm (123).

=====

Entry 3:
Below is a relaxed KRuN2 crystal, with properties calculated at the PBE level.

Unit cell a=5.830 b=5.830 c=5.830 alpha=120.82 beta=120.82 gamma=88.59
Sites, in units of the cell vectors:
1 K 0.000 0.000 0.000
2 K 0.750 0.250 0.500
3 Ru 0.250 0.750 0.500
4 Ru 0.500 0.500 0.000
5 N 0.268 0.625 0.143
6 N 0.375 0.518 0.643
7 N 0.482 0.125 0.857
8 N 0.875 0.732 0.357

Output
The value obtained for the total magnetization is 0.0 Bohr magnetons per cell. The energy above the most stable polymorph in this dataset is 0 meV/atom. The formation energy (no corrections) is 0.11 eV per atom. As for the symmetry: I-42d (122).

=====

Entry 4:
Below is a relaxed Ba2HfTl3Se6 crystal, with properties calculated at the PBE level.

Unit cell a=7.909 b=7.909 c=7.747 alpha=100.13 beta=100.13 gamma=120.47
Sites, in units of the cell vectors:
1 Ba 0.167 0.833 0.000
2 Ba 0.833 0.167 0.000
3 Hf 0.500 0.500 0.000
4 Tl 0.000 0.000 0.500
5 Tl 0.341 0.659 0.500
6 Tl 0.659 0.341 0.500
7 Se 0.146 0.423 0.783
8 Se 0.292 0.292 0.221
9 Se 0.423 0.146 0.783
10 Se 0.577 0.854 0.217
11 Se 0.708 0.708 0.779
12 Se 0.854 0.577 0.217

Output
The value obtained for the total magnetization is 0.0 Bohr magnetons per cell. The formation energy (no corrections) is -1.14 eV per atom. As for the symmetry: C2/m (12).

=====

Entry 5:
Below is a relaxed Ho2PuSbN5 crystal, with properties calculated at the PBE level.

Unit cell a=7.177 b=7.177 c=11.287 alpha=90.00 beta=90.00 gamma=152.41
Sites, in units of the cell vectors:
1 Ho 0.133 0.867 0.500
2 Ho 0.134 0.866 0.981
3 Ho 0.866 0.134 0.481
4 Ho 0.867 0.133 0.000
5 Pu 0.239 0.761 0.252
6 Pu 0.761 0.239 0.752
7 Sb 0.499 0.501 0.238
8 Sb 0.501 0.499 0.738
9 N 0.069 0.931 0.289
10 N 0.274 0.726 0.614
11 N 0.283 0.717 0.885
12 N 0.384 0.616 0.344
13 N 0.475 0.525 0.062
14 N 0.525 0.475 0.562
15 N 0.616 0.384 0.844
16 N 0.717 0.283 0.385
17 N 0.726 0.274 0.114
18 N 0.931 0.069 0.789

Output
The value obtained for the total magnetization is 7.9 Bohr magnetons per cell. The formation energy (no corrections) is -0.81 eV per atom. As for the symmetry: Cmc2_1 (36).